Arrangement P

CuNiHRuCSe GGA-PBE optimized geometry; crystal system = monoclinic; volume = 12.104 A^3/atom
1.0
-0.758 0.337 3.293
2.870 -1.794 0.844
6.929 10.213 -1.855
Cu Ni H Ru C Se
2 2 2 2 2 2
Direct
0.368 0.000 0.449 Cu
0.368 0.500 0.949 Cu
0.808 0.000 0.885 Ni
0.808 0.500 0.385 Ni
0.158 0.000 0.627 H
0.158 0.500 0.127 H
0.168 0.000 0.097 Ru
0.168 0.500 0.597 Ru
0.608 0.000 0.015 C
0.608 0.500 0.515 C
0.765 0.000 0.261 Se
0.765 0.500 0.761 Se



Arrangement Q

CuNiHRuCSe GGA-PBE optimized geometry; crystal system = monoclinic; volume = 13.755 A^3/atom
1.0
-1.024 -1.971 4.018
2.070 -1.978 -0.443
9.229 9.263 1.769
Cu Ni H Ru C Se
2 2 2 2 2 2
Direct
0.486 0.000 0.421 Cu
0.486 0.500 0.921 Cu
0.938 0.000 0.108 Ni
0.938 0.500 0.608 Ni
0.378 0.000 0.976 H
0.378 0.500 0.476 H
0.986 0.000 0.922 Ru
0.986 0.500 0.422 Ru
0.957 0.000 0.517 C
0.957 0.500 0.017 C
0.754 0.000 0.720 Se
0.754 0.500 0.220 Se



The most stable of them is arrangement P.



Arrangement P

CuNiHRuCSe GGA-PBE optimized geometry; crystal system = monoclinic; volume = 11.802 A^3/atom
1.0
-1.445 0.130 3.535
0.423 -3.206 0.291
11.918 1.633 0.655
Ni C Ru H Cu Se
2 2 2 2 2 2
Direct
0.807 0.000 0.334 Ni
0.807 0.500 0.834 Ni
0.973 0.000 0.500 C
0.973 0.500 0.000 C
0.071 0.000 0.098 Ru
0.071 0.500 0.598 Ru
0.583 0.000 0.111 H
0.583 0.500 0.611 H
0.475 0.000 0.503 Cu
0.475 0.500 0.003 Cu
0.260 0.000 0.788 Se
0.260 0.500 0.288 Se



Arrangement Q

CuNiHRuCSe GGA-PBE optimized geometry; crystal system = monoclinic; volume = 12.038 A^3/atom
1.0
-2.967 0.806 -3.963
-1.760 -2.107 0.889
-1.404 2.981 4.286
Cu Ni H Ru C Se
1 1 1 1 1 1
Direct
0.622 0.000 0.000 Cu
0.082 0.500 0.320 Ni
0.305 0.500 0.653 H
0.106 0.500 0.850 Ru
0.054 0.000 0.072 C
0.662 0.500 0.437 Se



The most stable of them is arrangement P.



Arrangement P

CuNiHRuCSe GGA-PBE optimized geometry; crystal system = monoclinic; volume = 12.405 A^3/atom
1.0
-4.430 2.113 0.467
-0.978 -1.548 -2.279
-0.520 -4.233 3.098
Cu Ni H Ru C Se
1 1 1 1 1 1
Direct
0.547 0.500 0.076 Cu
0.003 0.000 0.270 Ni
0.271 0.000 0.551 H
0.130 0.000 0.819 Ru
0.120 0.500 0.072 C
0.761 0.500 0.544 Se



Arrangement Q

CuNiHRuCSe GGA-PBE optimized geometry; crystal system = triclinic; volume = 12.162 A^3/atom
1.0
-2.036 2.437 1.076
-3.253 -3.169 1.619
0.094 -0.991 5.012
Cu Ni H Ru C Se
1 1 1 1 1 1
Direct
0.447 0.553 0.262 Cu
0.601 0.976 0.423 Ni
0.733 0.264 0.477 H
0.010 0.059 0.868 Ru
0.459 0.018 0.077 C
0.043 0.630 0.724 Se



Arrangement R

CuNiHRuCSe GGA-PBE optimized geometry; crystal system = monoclinic; volume = 12.981 A^3/atom
1.0
-6.182 -0.935 1.496
0.511 -2.830 0.341
6.326 1.983 6.974
Cu Ni H Ru C Se
2 2 2 2 2 2
Direct
0.523 0.000 0.271 Cu
0.523 0.500 0.771 Cu
0.991 0.000 0.360 Ni
0.991 0.500 0.860 Ni
0.410 0.000 0.819 H
0.410 0.500 0.319 H
0.115 0.000 0.654 Ru
0.115 0.500 0.154 Ru
0.077 0.000 0.010 C
0.077 0.500 0.510 C
0.716 0.000 0.636 Se
0.716 0.500 0.136 Se



The most stable of them is arrangement P.



Arrangement P

CuNiHRuCSe GGA-PBE optimized geometry; crystal system = monoclinic; volume = 12.995 A^3/atom
1.0
-4.259 -0.942 0.287
0.606 -2.236 1.646
1.672 4.101 4.957
Cu Ni H Ru C Se
1 1 1 1 1 1
Direct
0.389 0.500 0.939 Cu
0.219 0.000 0.255 Ni
0.555 0.500 0.741 H
0.843 0.000 0.858 Ru
0.047 0.500 0.070 C
0.779 0.000 0.469 Se



Arrangement Q

CuNiHRuCSe GGA-PBE optimized geometry; crystal system = triclinic; volume = 12.264 A^3/atom
1.0
-1.334 -2.227 1.951
2.979 -0.034 3.874
-1.300 3.241 4.021
Cu Ni H Ru C Se
1 1 1 1 1 1
Direct
0.902 0.124 0.604 Cu
0.589 0.640 0.920 Ni
0.793 0.338 0.236 H
0.126 0.062 0.120 Ru
0.713 0.920 0.020 C
0.169 0.585 0.600 Se



The most stable of them is arrangement P.



Arrangement P

CuNiHRuCSe GGA-PBE optimized geometry; crystal system = triclinic; volume = 12.468 A^3/atom
1.0
3.322 0.000 0.000
-0.078 3.654 0.000
-0.813 -0.745 6.163
Cu Ni H Ru C Se
1 1 1 1 1 1
Direct
0.705 0.481 0.921 Cu
0.193 0.952 0.768 Ni
0.074 0.537 0.222 H
0.071 0.027 0.191 Ru
0.527 0.988 0.028 C
0.637 0.185 0.538 Se



Arrangement Q

CuNiHRuCSe GGA-PBE optimized geometry; crystal system = orthorhombic; volume = 12.633 A^3/atom
1.0
2.989 0.000 0.000
0.000 3.900 0.000
0.000 0.000 13.003
Cu Ni H Ru C Se
2 2 2 2 2 2
Direct
0.500 0.000 0.508 Cu
0.500 0.500 0.008 Cu
0.000 0.000 0.886 Ni
0.000 0.500 0.386 Ni
0.000 0.000 0.600 H
0.000 0.500 0.100 H
0.000 0.000 0.084 Ru
0.000 0.500 0.584 Ru
0.500 0.000 0.981 C
0.500 0.500 0.481 C
0.000 0.000 0.275 Se
0.000 0.500 0.775 Se



Arrangement R

CuNiHRuCSe GGA-PBE optimized geometry; crystal system = monoclinic; volume = 13.578 A^3/atom
1.0
4.515 0.000 0.001
0.000 2.898 0.000
-3.561 0.000 12.451
Cu Ni H Ru C Se
2 2 2 2 2 2
Direct
0.518 0.000 0.455 Cu
0.518 0.500 0.955 Cu
0.937 0.000 0.123 Ni
0.937 0.500 0.623 Ni
0.317 0.000 0.882 H
0.317 0.500 0.382 H
0.012 0.000 0.935 Ru
0.012 0.500 0.435 Ru
0.977 0.000 0.532 C
0.977 0.500 0.032 C
0.739 0.000 0.738 Se
0.739 0.500 0.238 Se



The most stable of them is arrangement R.



Arrangement P

HfCu3C GGA-PBE optimized geometry; crystal system = cubic; volume = 12.629 A^3/atom
1.0
-3.056 -2.325 -1.053
2.489 -2.348 -2.037
0.568 -2.222 3.255
C Hf Cu
1 1 3
Direct
0.000 0.000 0.000 C
0.500 0.500 0.500 Hf
0.000 0.500 0.000 Cu
0.000 0.000 0.500 Cu
0.500 0.000 0.000 Cu



Arrangement Q

HfCu3C GGA-PBE optimized geometry; crystal system = cubic; volume = 23.581 A^3/atom
1.0
4.904 0.000 0.000
0.000 4.904 0.000
0.000 0.000 4.904
C Hf Cu
1 1 3
Direct
0.500 0.500 0.500 C
0.000 0.000 0.000 Hf
0.000 0.500 0.000 Cu
0.000 0.000 0.500 Cu
0.500 0.000 0.000 Cu



The most stable of them is arrangement P.



Arrangement P

HfCuC3 GGA-PBE optimized geometry; crystal system = cubic; volume = 10.866 A^3/atom
1.0
-2.671 -2.226 -1.503
2.685 -2.155 -1.579
0.073 -2.179 3.097
C Hf Cu
3 1 1
Direct
0.000 0.500 0.000 C
0.000 0.000 0.500 C
0.500 0.000 0.000 C
0.500 0.500 0.500 Hf
0.000 0.000 0.000 Cu



Arrangement Q

HfCuC3 GGA-PBE optimized geometry; crystal system = cubic; volume = 15.670 A^3/atom
1.0
-1.108 0.745 -4.065
3.399 -2.230 -1.335
-2.351 -3.575 -0.014
C Hf Cu
3 1 1
Direct
0.000 0.500 0.000 C
0.000 0.000 0.500 C
0.500 0.000 0.000 C
0.000 0.000 0.000 Hf
0.500 0.500 0.500 Cu



The most stable of them is arrangement P.



Arrangement P

Cu3HgC GGA-PBE optimized geometry; crystal system = cubic; volume = 12.841 A^3/atom
1.0
4.004 0.000 0.000
0.000 4.004 0.000
0.000 0.000 4.004
C Hg Cu
1 1 3
Direct
0.000 0.000 0.000 C
0.500 0.500 0.500 Hg
0.000 0.500 0.000 Cu
0.000 0.000 0.500 Cu
0.500 0.000 0.000 Cu



Arrangement Q

Cu3HgC GGA-PBE optimized geometry; crystal system = cubic; volume = 22.541 A^3/atom
1.0
-2.479 3.771 -1.722
-2.746 0.010 3.974
3.106 3.018 2.139
C Hg Cu
1 1 3
Direct
0.500 0.500 0.500 C
0.000 0.000 0.000 Hg
0.000 0.500 0.000 Cu
0.000 0.000 0.500 Cu
0.500 0.000 0.000 Cu



The most stable of them is arrangement P.



Arrangement P

Cu2CI2 GGA-PBE optimized geometry; crystal system = tetragonal; volume = 19.804 A^3/atom
1.0
7.175 0.000 0.000
0.000 7.175 0.000
0.000 0.000 3.846
I C Cu
4 2 4
Direct
0.179 0.679 0.500 I
0.679 0.821 0.500 I
0.821 0.321 0.500 I
0.321 0.179 0.500 I
0.000 0.000 0.000 C
0.500 0.500 0.000 C
0.368 0.868 0.000 Cu
0.868 0.632 0.000 Cu
0.632 0.132 0.000 Cu
0.132 0.368 0.000 Cu



Arrangement Q

Cu2CI2 GGA-PBE optimized geometry; crystal system = tetragonal; volume = 32.628 A^3/atom
1.0
-4.792 0.769 2.106
-2.204 -2.530 -4.090
-3.044 -5.929 1.885
I C Cu
2 1 2
Direct
0.750 0.250 0.500 I
0.250 0.750 0.500 I
0.000 0.000 0.000 C
0.152 0.152 0.695 Cu
0.848 0.848 0.305 Cu



The most stable of them is arrangement Q.



Arrangement P

CuCI2N GGA-PBE optimized geometry; crystal system = tetragonal; volume = 27.937 A^3/atom
1.0
-3.393 -2.304 6.051
0.327 -6.884 -2.437
2.312 -0.308 1.180
I C Cu N
2 1 1 1
Direct
0.000 0.500 0.000 I
0.500 0.000 0.000 I
0.000 0.000 0.000 C
0.500 0.500 0.500 Cu
0.000 0.000 0.500 N



Arrangement Q

CuCI2N GGA-PBE optimized geometry; crystal system = tetragonal; volume = 22.048 A^3/atom
1.0
-5.354 -1.170 -0.269
0.301 -0.115 -5.477
0.776 -3.577 0.118
I C Cu N
2 1 1 1
Direct
0.000 0.500 0.000 I
0.500 0.000 0.000 I
0.500 0.500 0.500 C
0.000 0.000 0.000 Cu
0.000 0.000 0.500 N



The most stable of them is arrangement P.



Arrangement P

CuCI2O GGA-PBE optimized geometry; crystal system = tetragonal; volume = 21.226 A^3/atom
1.0
5.431 0.000 0.000
0.000 5.431 0.000
0.000 0.000 3.598
I C O Cu
2 1 1 1
Direct
0.000 0.500 0.000 I
0.500 0.000 0.000 I
0.500 0.500 0.500 C
0.000 0.000 0.500 O
0.000 0.000 0.000 Cu



Arrangement Q

CuCI2O GGA-PBE optimized geometry; crystal system = tetragonal; volume = 21.015 A^3/atom
1.0
5.916 0.000 0.000
0.000 5.916 0.000
0.000 0.000 3.002
I C O Cu
2 1 1 1
Direct
0.000 0.500 0.000 I
0.500 0.000 0.000 I
0.000 0.000 0.000 C
0.000 0.000 0.500 O
0.500 0.500 0.500 Cu



The most stable of them is arrangement Q.



Arrangement P

CuTeCI2 GGA-PBE optimized geometry; crystal system = tetragonal; volume = 24.500 A^3/atom
1.0
-1.664 2.202 -4.336
0.337 -4.519 -2.425
-4.377 -0.965 1.190
I C Te Cu
2 1 1 1
Direct
0.000 0.500 0.000 I
0.500 0.000 0.000 I
0.000 0.000 0.000 C
0.000 0.000 0.500 Te
0.500 0.500 0.500 Cu



Arrangement Q

CuTeCI2 GGA-PBE optimized geometry; crystal system = tetragonal; volume = 29.613 A^3/atom
1.0
5.338 0.000 0.000
0.000 5.338 0.000
0.000 0.000 5.196
I C Te Cu
2 1 1 1
Direct
0.000 0.500 0.000 I
0.500 0.000 0.000 I
0.500 0.500 0.500 C
0.000 0.000 0.500 Te
0.000 0.000 0.000 Cu



The most stable of them is arrangement P.